Entry from Alexandria: SrIn2Ru after structural relaxation (PBE).

The space group is I-4m2 (No. 119) and the conventional cell measures 4.634, 4.634 and 8.721 Å, with angles of 90.00, 90.00 and 90.00 degrees. Symmetry generates all atoms from Sr at (0.000, 0.000, 0.000), In at (0.000, 0.000, 0.500), In at (0.000, 0.500, 0.750) and Ru at (0.000, 0.500, 0.250).

The energy of formation from the pure elements comes out at 260 meV/atom. Its spin magnetization is 0.000 μB per formula unit. As for the crystal system: tetragonal. For the volume, the calculation gives 23.41 A^3/atom.

***

Entry from Alexandria: Er4In3Te8 after structural relaxation (PBE).

The space group is C2/m (No. 12) and the conventional cell measures 12.613, 12.517 and 8.744 Å, with angles of 90.00, 133.65 and 90.00 degrees. Symmetry generates all atoms from Er at (0.000, 0.000, 0.000), Er at (0.000, 0.000, 0.500), Er at (0.250, 0.250, 0.000), In at (0.000, 0.500, 0.500), In at (0.250, 0.250, 0.500), Te at (0.000, 0.243, 0.500), Te at (0.000, 0.248, 0.000), Te at (0.232, 0.000, 0.483) and Te at (0.241, 0.000, 0.987).

The raw formation energy is -89.8 kJ per mole of atoms. Its spin magnetization is 0.000 μB per formula unit. As for the crystal system: monoclinic. For the volume, the calculation gives 33.29 A^3/atom.

***

spin magnetization of number 2 (Er4In3Te8)? 0.000 μB per formula unit

***

Among the records above, which one has the lowest volume? SrIn2Ru

***

What is the formula in the first record? SrIn2Ru

***

What is the spin magnetization in the second record? 0.000 μB per formula unit